MgCu2Sb: optimized geometry, PBEsol.

Lattice parameters (Å, degrees): 3.141 3.697 5.720 90.00 90.00 90.00
Space group Pmm2 (No. 25)
Unique sites:
Mg1 0.000 0.000 0.000 (multiplicity 1)
Cu1 0.000 0.000 0.557 (multiplicity 1)
Cu2 0.500 0.500 0.766 (multiplicity 1)
Sb1 0.500 0.500 0.311 (multiplicity 1)

Summary:
- Total DFT energy (no corrections): -3.665 eV/atom
- Formation energy from raw total energies: 0.07 eV per atom


MgCuSb2: optimized geometry, PBEsol.

Lattice parameters (Å, degrees): 4.084 4.129 4.959 90.00 90.00 90.00
Space group Pmmm (No. 47)
Unique sites:
Mg1 0.000 0.000 0.000 (multiplicity 1)
Cu1 0.000 0.500 0.500 (multiplicity 1)
Sb1 0.500 0.000 0.500 (multiplicity 1)
Sb2 0.500 0.500 0.000 (multiplicity 1)

Summary:
- Total DFT energy (no corrections): -3.704 eV/atom
- Formation energy from raw total energies: 0.09 eV per atom


MgCu4Sb: optimized geometry, PBEsol.

Lattice parameters (Å, degrees): 6.995 6.995 6.995 90.00 90.00 90.00
Space group F-43m (No. 216)
Unique sites:
Mg1 0.000 0.000 0.000 (multiplicity 4)
Cu1 0.126 0.126 0.626 (multiplicity 16)
Sb1 0.250 0.250 0.250 (multiplicity 4)

Summary:
- Total DFT energy (no corrections): -4.010 eV/atom
- Formation energy from raw total energies: -0.08 eV per atom


MgCuSb2: optimized geometry, PBEsol.

Lattice parameters (Å, degrees): 7.980 7.980 5.612 90.00 90.00 90.00
Space group I-42d (No. 122)
Unique sites:
Mg1 0.000 0.000 0.000 (multiplicity 4)
Cu1 0.000 0.000 0.500 (multiplicity 4)
Sb1 0.181 0.750 0.625 (multiplicity 8)

Summary:
- Total DFT energy (no corrections): -3.805 eV/atom
- Formation energy from raw total energies: -0.01 eV per atom


Mg2ScCu2: optimized geometry, PBEsol.

Lattice parameters (Å, degrees): 3.612 3.612 13.730 90.00 90.00 90.00
Space group I4/mmm (No. 139)
Unique sites:
Mg1 0.000 0.000 0.114 (multiplicity 4)
Sc1 0.000 0.000 0.500 (multiplicity 2)
Cu1 0.000 0.500 0.250 (multiplicity 4)

Summary:
- Total DFT energy (no corrections): -3.569 eV/atom
- ΔE_f: 0.173 eV/atom


MgScCu: optimized geometry, PBEsol.

Lattice parameters (Å, degrees): 3.137 3.137 11.122 90.00 90.00 90.00
Space group I4mm (No. 107)
Unique sites:
Mg1 0.000 0.000 0.000 (multiplicity 2)
Sc1 0.000 0.000 0.715 (multiplicity 2)
Cu1 0.000 0.000 0.357 (multiplicity 2)

Summary:
- Total DFT energy (no corrections): -4.332 eV/atom
- ΔE_f: -0.114 eV/atom


M_tot: 0.000 0.000 0.000 0.000 0.074 0.000 (μB/atom)